BaCaAu | PBE | relaxed

Values from the calculation:
VASP energy ... -2.8744 eV/atom
DOS(E_F) ... 1.1962 states/eV/atom
Spin magnetization ... 0.00 Bohr magnetons per cell
ΔH_f (0 K) ... -0.474 eV/atom
Offset from the most stable computed form ... 0.059 eV/atom

Lattice parameters (Å, degrees): 4.5782 4.5782 6.9326 90.00 90.00 120.00
Closest atoms and distances in Å follow each position.
Space group P3m1 (No. 156)
Inequivalent atoms, fractional coordinates:
Ba 0.0000 0.0000 0.0000 x1  3 Au 3.29
Ca 0.6667 0.3333 0.5167 x1  3 Au 2.99
Au 0.3333 0.6667 0.7170 x1  3 Ca 2.99, 3 Ba 3.29

=====

MgIn5Ag8 | PBE | relaxed

Values from the calculation:
VASP energy ... -2.7042 eV/atom
DOS(E_F) ... 0.3496 states/eV/atom
Spin magnetization ... 0.00 Bohr magnetons per cell
ΔH_f (0 K) ... 0.017 eV/atom

Lattice parameters (Å, degrees): 7.8755 7.8755 9.7035 90.00 90.00 90.00
Closest atoms and distances in Å follow each position.
Space group I-4 (No. 82)
Inequivalent atoms, fractional coordinates:
Mg 0.0000 0.0000 0.0000 x2  8 Ag 2.89-2.95
In 0.0000 0.5000 0.7500 x2  4 Ag 2.76
In 0.1500 0.2349 0.4450 x8  7 Ag 2.86-3.11
Ag 0.0751 0.1581 0.7385 x8  3 Ag 2.76-2.92, 4 In 2.76-3.07, 1 Mg 2.89
Ag 0.0801 0.3195 0.1439 x8  4 In 2.86-3.11, 5 Ag 2.87-3.11, 1 Mg 2.95

=====

AcSbHRh | PBE | relaxed

Values from the calculation:
VASP energy ... -5.5422 eV/atom
DOS(E_F) ... 0.5909 states/eV/atom
Spin magnetization ... 0.00 Bohr magnetons per cell

Lattice parameters (Å, degrees): 4.6010 4.6010 4.5546 90.00 90.00 120.00
Closest atoms and distances in Å follow each position.
Space group P3m1 (No. 156)
Inequivalent atoms, fractional coordinates:
Ac 0.0000 0.0000 0.0000 x1  3 H 2.67
Sb 0.3333 0.6667 0.4879 x1  3 Rh 2.68
H 0.6667 0.3333 0.9345 x1  1 Rh 1.69
Rh 0.6667 0.3333 0.5639 x1  1 H 1.69